(1)
Density functional theory data (GGA-PBEsol) for an optimized crystal structure of VC2O6.

## Properties
Crystal system: trigonal
Raw formation energy (eV per atom): -1.572
Volume (Å³/cell): 315
Distance to the lowest polymorph of the same formula (kJ per mole of atoms): 2.0

abc: 4.7587 4.7587 16.0614
angles: 90.00 90.00 120.00
Space group R-3 (No. 148, hexagonal axes)
Unique sites:
V: 0.0000 0.0000 0.0000 x3
C: 0.0000 0.0000 0.2675 x6
O: 0.0364 0.6017 0.4003 x18

***

(2)
Density functional theory data (GGA-PBEsol) for an optimized crystal structure of Fe3Si.

## Properties
Crystal system: tetragonal
Raw formation energy (eV per atom): -0.275
Volume (Å³/cell): 42

abc: 2.792 2.792 5.414
angles: 90.00 90.00 90.00
Space group P4/mmm (No. 123)
Unique sites:
Fe: 0.000 0.000 0.000 x1
Fe: 0.500 0.500 0.255 x2
Si: 0.000 0.000 0.500 x1

***

(3)
Density functional theory data (GGA-PBEsol) for an optimized crystal structure of K8Sb.

## Properties
Crystal system: tetragonal
Raw formation energy (eV per atom): -0.093
Volume (Å³/cell): 984

abc: 13.469 13.469 5.422
angles: 90.00 90.00 90.00
Space group I4/mmm (No. 139)
Unique sites:
K: 0.000 0.313 0.000 x8
K: 0.136 0.136 0.500 x8
Sb: 0.000 0.000 0.000 x2

***

(4)
Density functional theory data (GGA-PBEsol) for an optimized crystal structure of Mg2CrP.

## Properties
Crystal system: orthorhombic
Volume (Å³/cell): 142
Energy of formation (eV/atom): -0.013

abc: 3.465 3.919 10.442
angles: 90.00 90.00 90.00
Space group Amm2 (No. 38)
Unique sites:
Mg: 0.000 0.000 0.000 x2
Mg: 0.500 0.000 0.316 x2
Cr: 0.000 0.000 0.714 x2
P: 0.500 0.000 0.577 x2

***

(5)
Density functional theory data (GGA-PBEsol) for an optimized crystal structure of P2Os2Au.

## Properties
Crystal system: tetragonal
Volume (Å³/cell): 148
Energy of formation (eV/atom): -0.083

abc: 3.640 3.640 11.171
angles: 90.00 90.00 90.00
Space group I4/mmm (No. 139)
Unique sites:
P: 0.000 0.500 0.250 x4
Os: 0.000 0.000 0.123 x4
Au: 0.000 0.000 0.500 x2

***

(6)
Density functional theory data (GGA-PBEsol) for an optimized crystal structure of Co2Pt.

## Properties
Crystal system: trigonal
Volume (Å³/cell): 37
Energy of formation (eV/atom): 0.014

abc: 2.6135 2.6135 6.2213
angles: 90.00 90.00 120.00
Space group P-3m1 (No. 164)
Unique sites:
Co: 0.3333 0.6667 0.1494 x2
Pt: 0.0000 0.0000 0.5000 x1

***

(7)
Density functional theory data (GGA-PBEsol) for an optimized crystal structure of KRbOsO2.

## Properties
Crystal system: tetragonal
Raw formation energy (eV per atom): 1.657
Volume (Å³/cell): 130

abc: 4.833 4.833 5.560
angles: 90.00 90.00 90.00
Space group P4/mmm (No. 123)
Unique sites:
K: 0.000 0.000 0.000 x1
Rb: 0.000 0.000 0.500 x1
Os: 0.500 0.500 0.500 x1
O: 0.000 0.500 0.000 x2

***

(8)
Density functional theory data (GGA-PBEsol) for an optimized crystal structure of Ca4C5.

## Properties
Crystal system: tetragonal
Volume (Å³/cell): 267
Energy of formation (eV/atom): 0.566

abc: 9.887 9.887 2.734
angles: 90.00 90.00 90.00
Space group I4/mmm (No. 139)
Unique sites:
Ca: 0.000 0.235 0.000 x8
C: 0.000 0.000 0.000 x2
C: 0.229 0.229 0.500 x8

***

(9)
Density functional theory data (GGA-PBEsol) for an optimized crystal structure of TlCl.

## Properties
Crystal system: monoclinic
Raw formation energy (eV per atom): -0.899
Volume (Å³/cell): 350

abc: 11.398 4.026 8.181
angles: 90.00 111.11 90.00
Space group Cm (No. 8)
Unique sites:
Tl: 0.000 0.000 0.000 x2
Tl: 0.130 0.000 0.663 x2
Tl: 0.300 0.000 0.304 x2
Cl: 0.088 0.500 0.350 x2
Cl: 0.242 0.500 0.993 x2
Cl: 0.405 0.000 0.702 x2

***

(10)
Density functional theory data (GGA-PBEsol) for an optimized crystal structure of Sc2ICl.

## Properties
Crystal system: trigonal
Raw formation energy (eV per atom): -0.725
Volume (Å³/cell): 304
Distance to the lowest polymorph of the same formula (kJ per mole of atoms): 0.0

abc: 3.5460 3.5460 27.9375
angles: 90.00 90.00 120.00
Space group R-3m (No. 166, hexagonal axes)
Unique sites:
Sc: 0.0000 0.0000 0.0858 x6
I: 0.0000 0.0000 0.5000 x3
Cl: 0.0000 0.0000 0.0000 x3

***

(11)
Density functional theory data (GGA-PBEsol) for an optimized crystal structure of Ta2GeRhCl.

## Properties
Crystal system: tetragonal
Raw formation energy (eV per atom): 1.255
Volume (Å³/cell): 102

abc: 4.813 4.813 4.419
angles: 90.00 90.00 90.00
Space group P4/mmm (No. 123)
Unique sites:
Ta: 0.000 0.500 0.000 x2
Ge: 0.000 0.000 0.000 x1
Rh: 0.000 0.000 0.500 x1
Cl: 0.500 0.500 0.500 x1

***

(12)
Density functional theory data (GGA-PBEsol) for an optimized crystal structure of LiSi2W.

## Properties
Crystal system: tetragonal
Raw formation energy (eV per atom): -0.073
Volume (Å³/cell): 103
Distance to the lowest polymorph of the same formula (kJ per mole of atoms): 0.0

abc: 3.697 3.697 7.514
angles: 90.00 90.00 90.00
Space group I4/mmm (No. 139)
Unique sites:
Li: 0.000 0.000 0.000 x2
Si: 0.000 0.500 0.250 x4
W: 0.000 0.000 0.500 x2

***

Taking the records one at a time from the top gives E values of -223.70; -33.74; -28.92; -39.04; -80.71; -22.39; -16.59; -103.31; -38.61; -59.66; -33.91; -55.12 eV/cell.
Taking the records one at a time from the top gives density of states at the Fermi level values of 0.31; 1.23; 0.66; 0.58; 0.23; 0.70; 1.33; 0.63; 0.00; 0.76; 1.17; 0.45 states/eV/atom.